(1)
! CoBRh3 | the Alexandria database | GGA-PBE | relaxed; values from VASP
&SYSTEM
  ibrav = 0, nat = 5, ntyp = 3
/
ATOMIC_SPECIES
Co 58.93 Co.upf
B 10.81 B.upf
Rh 102.91 Rh.upf
CELL_PARAMETERS angstrom
4.4160 0.0000 0.0000
0.0000 4.4160 0.0000
0.0000 0.0000 4.4160
ATOMIC_POSITIONS angstrom
Co 0.0000 0.0000 0.0000
B 2.2080 2.2080 2.2080
Rh 0.0000 2.2080 0.0000
Rh 0.0000 0.0000 2.2080
Rh 2.2080 0.0000 0.0000
! Energy above the most stable polymorph in this dataset = 1933 meV/atom
! E_form = 1.81 eV per atom
! Symmetry = Pm-3m

=====

(2)
! CoB3Rh3 | the Alexandria database | GGA-PBE | relaxed; values from VASP
&SYSTEM
  ibrav = 0, nat = 14, ntyp = 3
/
ATOMIC_SPECIES
Co 58.93 Co.upf
B 10.81 B.upf
Rh 102.91 Rh.upf
CELL_PARAMETERS angstrom
5.2689 0.1033 1.6578
1.2463 5.1205 1.6578
0.1289 0.1033 5.5221
ATOMIC_POSITIONS angstrom
Co 2.0378 1.6338 2.7106
Co 4.6064 3.6933 6.1272
B 3.3633 1.9714 6.5783
B 3.0950 4.8277 5.0583
B 5.5817 2.8542 4.3783
B 1.0625 2.4729 4.4594
B 3.5492 0.4994 3.7794
B 3.2809 3.3557 2.2595
Rh 4.7548 1.8355 2.6611
Rh 1.7715 4.2420 3.4534
Rh 2.0602 0.8069 5.3069
Rh 4.5839 4.5202 3.5308
Rh 4.8726 1.0851 5.3844
Rh 1.8894 3.4916 6.1766
! E_form = -0.31 eV per atom
! Symmetry = R-3

=====

- What is the E_form in the first record?
  1.81 eV per atom

=====

- Look up the E_form of the second one.
  -0.31 eV per atom

=====

- Which of these has the highest E_form?
  CoBRh3